[1]
The following is a PBE calculation of a geometry-optimized BaAg4F12 structure, from OQMD.

Cell: 7.200 7.200 7.200 Å, 109.47 109.47 109.47°
Fractional positions:
Ba  0.000  0.000  0.000
Ag  0.000  0.000  0.500
Ag  0.000  0.500  0.000
Ag  0.500  0.000  0.000
Ag  0.500  0.500  0.500
F  0.000  0.237  0.763
F  0.000  0.763  0.237
F  0.237  0.000  0.763
F  0.237  0.237  0.474
F  0.237  0.474  0.237
F  0.237  0.763  0.000
F  0.474  0.237  0.237
F  0.526  0.763  0.763
F  0.763  0.000  0.237
F  0.763  0.237  0.000
F  0.763  0.526  0.763
F  0.763  0.763  0.526

Summary:
Volume = 16.90 Å³ per atom
VASP energy = -3.68 eV/atom



[2]
The following is a PBE calculation of a geometry-optimized AgBi2 structure, from OQMD.

Cell: 5.965 5.965 5.965 Å, 104.47 104.47 120.03°
Fractional positions:
Ag  0.250  0.250  0.000
Ag  0.750  0.750  0.000
Bi  0.155  0.655  0.810
Bi  0.345  0.155  0.500
Bi  0.655  0.845  0.500
Bi  0.845  0.345  0.190

Summary:
Volume = 26.53 Å³ per atom
E above lowest polymorph = 7 meV/atom
VASP energy = -3.55 eV/atom



[3]
The following is a PBE calculation of a geometry-optimized Pr3Sn2IrPt2Pb structure, from OQMD.

Cell: 4.165 7.682 7.682 Å, 119.58 90.00 90.00°
Fractional positions:
Pr  0.000  0.000  0.000
Pr  0.000  0.181  0.592
Pr  0.000  0.592  0.181
Sn  0.500  0.592  0.840
Sn  0.500  0.840  0.592
Ir  0.000  0.603  0.603
Pt  0.500  0.255  0.914
Pt  0.500  0.914  0.255
Pb  0.500  0.340  0.340

Summary:
Volume = 23.75 Å³ per atom
Magnetization = 0.00 Bohr magnetons per cell
VASP energy = -6.13 eV/atom



[4]
The following is a PBE calculation of a geometry-optimized KDySeO structure, from OQMD.

Cell: 7.431 7.431 7.431 Å, 29.45 29.45 29.45°
Fractional positions:
K  0.000  0.000  0.000
Dy  0.522  0.522  0.522
Se  0.771  0.771  0.771
O  0.233  0.233  0.233

Summary:
Volume = 21.94 Å³ per atom
Magnetization = 0.00 Bohr magnetons per cell
E above lowest polymorph = 151 meV/atom
VASP energy = -5.65 eV/atom



[5]
The following is a PBE calculation of a geometry-optimized RbLuSnS3 structure, from OQMD.

Cell: 8.789 8.789 11.227 Å, 90.00 90.00 154.46°
Fractional positions:
Rb  0.185  0.815  0.750
Rb  0.815  0.185  0.250
Lu  0.500  0.500  0.000
Lu  0.500  0.500  0.500
Sn  0.114  0.886  0.250
Sn  0.886  0.114  0.750
S  0.106  0.894  0.003
S  0.106  0.894  0.497
S  0.490  0.510  0.750
S  0.510  0.490  0.250
S  0.894  0.106  0.503
S  0.894  0.106  0.997

Summary:
Volume = 31.16 Å³ per atom
Magnetization = 0.02 Bohr magnetons per cell
VASP energy = -4.92 eV/atom



[6]
The following is a PBE calculation of a geometry-optimized PrZnGa structure, from OQMD.

Cell: 7.548 4.570 7.666 Å, 90.00 90.00 90.00°
Fractional positions:
Pr  0.002  0.250  0.216
Pr  0.498  0.750  0.716
Pr  0.502  0.250  0.284
Pr  0.998  0.750  0.784
Zn  0.194  0.750  0.416
Zn  0.306  0.250  0.916
Zn  0.694  0.750  0.084
Zn  0.806  0.250  0.584
Ga  0.203  0.250  0.589
Ga  0.297  0.750  0.089
Ga  0.703  0.250  0.911
Ga  0.797  0.750  0.411

Summary:
Volume = 22.03 Å³ per atom
Magnetization = 0.03 Bohr magnetons per cell
VASP energy = -3.57 eV/atom